Record 1
## Sr2Al5Pd4 (SCAN)

Data for Sr2Al5Pd4 at its PBEsol-relaxed geometry.

- total DFT energy (no corrections) (eV per cell) = -895.688
- ΔE_f (meV/atom) = -865.0

a = 18.011 Å, b = 4.310 Å, c = 10.970 Å
α = 90.00°, β = 90.00°, γ = 90.00°
Space group Pnma (No. 62)
Symmetry-distinct sites (fractional):
Sr (0.008, 0.250, 0.240) [4 per cell]
Sr (0.193, 0.750, 0.165) [4 per cell]
Al (0.046, 0.250, 0.544) [4 per cell]
Al (0.100, 0.250, 0.953) [4 per cell]
Al (0.163, 0.750, 0.610) [4 per cell]
Al (0.173, 0.750, 0.859) [4 per cell]
Al (0.178, 0.250, 0.429) [4 per cell]
Pd (0.047, 0.750, 0.016) [4 per cell]
Pd (0.091, 0.750, 0.419) [4 per cell]
Pd (0.137, 0.250, 0.725) [4 per cell]
Pd (0.244, 0.250, 0.934) [4 per cell]

---

Record 2
## Ca2SiSb (SCAN)

Data for Ca2SiSb at its PBEsol-relaxed geometry.

- energy above the lowest structure with this stoichiometry (eV/atom) = 0.505
- total DFT energy (no corrections) (eV per cell) = -267.132
- formation energy from raw total energies (eV/atom) = -0.045

a = 7.388 Å, b = 7.388 Å, c = 7.388 Å
α = 90.00°, β = 90.00°, γ = 90.00°
Space group F-43m (No. 216)
Symmetry-distinct sites (fractional):
Ca (0.000, 0.000, 0.000) [4 per cell]
Ca (0.250, 0.250, 0.250) [4 per cell]
Si (0.000, 0.000, 0.500) [4 per cell]
Sb (0.250, 0.250, 0.750) [4 per cell]

---

Record 3
## KInSi2 (SCAN)

Data for KInSi2 at its PBEsol-relaxed geometry.

- total DFT energy (no corrections) (eV per cell) = -241.244
- formation energy from raw total energies (eV/atom) = 0.359

a = 4.996 Å, b = 4.996 Å, c = 18.679 Å
α = 90.00°, β = 90.00°, γ = 90.00°
Space group I4_1/amd (No. 141, origin choice 2)
Symmetry-distinct sites (fractional):
K (0.000, 0.250, 0.375) [4 per cell]
In (0.000, 0.250, 0.875) [4 per cell]
Si (0.000, 0.000, 0.000) [8 per cell]

---

Record 4
## La2SiNi (SCAN)

Data for La2SiNi at its PBEsol-relaxed geometry.

- total DFT energy (no corrections) (eV per cell) = -343.513
- formation energy from raw total energies (eV/atom) = -0.526

a = 4.1867 Å, b = 4.1867 Å, c = 16.9785 Å
α = 90.00°, β = 90.00°, γ = 120.00°
Space group R3m (No. 160, hexagonal axes)
Symmetry-distinct sites (fractional):
La (0.0000, 0.0000, 0.0000) [3 per cell]
La (0.0000, 0.0000, 0.2117) [3 per cell]
Si (0.0000, 0.0000, 0.4342) [3 per cell]
Ni (0.0000, 0.0000, 0.7799) [3 per cell]

---

Record 5
## Al2MoSe (SCAN)

Data for Al2MoSe at its PBEsol-relaxed geometry.

- total DFT energy (no corrections) (eV per cell) = -70.856
- formation energy from raw total energies (eV/atom) = -0.097

a = 3.346 Å, b = 3.346 Å, c = 5.576 Å
α = 90.00°, β = 90.00°, γ = 90.00°
Space group P4/mmm (No. 123)
Symmetry-distinct sites (fractional):
Al (0.000, 0.000, 0.230) [2 per cell]
Mo (0.500, 0.500, 0.000) [1 per cell]
Se (0.500, 0.500, 0.500) [1 per cell]

---

Record 6
## ZnFeMo2 (SCAN)

Data for ZnFeMo2 at its PBEsol-relaxed geometry.

- total DFT energy (no corrections) (eV per cell) = -201.335
- ΔE_f (meV/atom) = 186.9

a = 5.194 Å, b = 8.014 Å, c = 2.599 Å
α = 90.00°, β = 90.00°, γ = 90.00°
Space group Cmmm (No. 65)
Symmetry-distinct sites (fractional):
Zn (0.000, 0.000, 0.000) [2 per cell]
Fe (0.000, 0.500, 0.000) [2 per cell]
Mo (0.250, 0.250, 0.500) [4 per cell]

---

Record 7
## CaY2Br (SCAN)

Data for CaY2Br at its PBEsol-relaxed geometry.

- energy above the lowest structure with this stoichiometry (eV/atom) = 0.000
- total DFT energy (no corrections) (eV per cell) = -172.756
- formation energy from raw total energies (eV/atom) = -0.392

a = 3.514 Å, b = 6.035 Å, c = 11.263 Å
α = 90.00°, β = 90.00°, γ = 90.00°
Space group Imm2 (No. 44)
Symmetry-distinct sites (fractional):
Ca (0.000, 0.000, 0.000) [2 per cell]
Y (0.000, 0.000, 0.430) [2 per cell]
Y (0.000, 0.500, 0.198) [2 per cell]
Br (0.000, 0.500, 0.720) [2 per cell]

---

Record 8
## MgMo2Pt (SCAN)

Data for MgMo2Pt at its PBEsol-relaxed geometry.

- total DFT energy (no corrections) (eV per cell) = -290.390
- ΔE_f (meV/atom) = -64.4

a = 3.280 Å, b = 4.551 Å, c = 8.451 Å
α = 90.00°, β = 90.00°, γ = 90.00°
Space group Imm2 (No. 44)
Symmetry-distinct sites (fractional):
Mg (0.000, 0.000, 0.000) [2 per cell]
Mo (0.000, 0.000, 0.488) [2 per cell]
Mo (0.000, 0.500, 0.772) [2 per cell]
Pt (0.000, 0.500, 0.246) [2 per cell]

---

Record 9
## Rb2HCl (SCAN)

Data for Rb2HCl at its PBEsol-relaxed geometry.

- energy above the lowest structure with this stoichiometry (eV/atom) = 0.000
- total DFT energy (no corrections) (eV per cell) = -230.206

a = 7.532 Å, b = 7.532 Å, c = 7.532 Å
α = 90.00°, β = 90.00°, γ = 90.00°
Space group Fm-3m (No. 225)
Symmetry-distinct sites (fractional):
Rb (0.250, 0.250, 0.250) [8 per cell]
H (0.000, 0.000, 0.000) [4 per cell]
Cl (0.000, 0.000, 0.500) [4 per cell]

---

Record 10
## Sb17S27 (SCAN)

Data for Sb17S27 at its PBEsol-relaxed geometry.

- total DFT energy (no corrections) (eV per cell) = -901.607
- formation energy from raw total energies (eV/atom) = -0.187

a = 8.623 Å, b = 8.635 Å, c = 14.936 Å
α = 103.67°, β = 94.82°, γ = 95.95°
Space group P1 (No. 1)
Symmetry-distinct sites (fractional):
Sb (0.000, 0.000, 0.000) [1 per cell]
Sb (0.003, 0.629, 0.424) [1 per cell]
Sb (0.089, 0.310, 0.551) [1 per cell]
Sb (0.178, 0.974, 0.690) [1 per cell]
Sb (0.262, 0.632, 0.826) [1 per cell]
Sb (0.269, 0.193, 0.207) [1 per cell]
Sb (0.339, 0.344, 0.000) [1 per cell]
Sb (0.360, 0.978, 0.422) [1 per cell]
Sb (0.426, 0.646, 0.562) [1 per cell]
Sb (0.513, 0.307, 0.688) [1 per cell]
Sb (0.559, 0.562, 0.240) [1 per cell]
Sb (0.605, 0.974, 0.824) [1 per cell]
Sb (0.676, 0.670, 0.014) [1 per cell]
Sb (0.757, 0.970, 0.547) [1 per cell]
Sb (0.844, 0.634, 0.689) [1 per cell]
Sb (0.907, 0.886, 0.238) [1 per cell]
Sb (0.931, 0.296, 0.817) [1 per cell]
S (0.016, 0.307, 0.981) [1 per cell]
S (0.044, 0.992, 0.498) [1 per cell]
S (0.135, 0.645, 0.627) [1 per cell]
S (0.228, 0.294, 0.753) [1 per cell]
S (0.251, 0.928, 0.255) [1 per cell]
S (0.268, 0.467, 0.160) [1 per cell]
S (0.300, 0.951, 0.851) [1 per cell]
S (0.305, 0.671, 0.397) [1 per cell]
S (0.324, 0.061, 0.056) [1 per cell]
S (0.345, 0.652, 0.991) [1 per cell]
S (0.379, 0.333, 0.518) [1 per cell]
S (0.466, 0.979, 0.625) [1 per cell]
S (0.506, 0.300, 0.304) [1 per cell]
S (0.560, 0.627, 0.748) [1 per cell]
S (0.618, 0.832, 0.165) [1 per cell]
S (0.633, 0.417, 0.088) [1 per cell]
S (0.637, 0.285, 0.856) [1 per cell]
S (0.640, 0.969, 0.390) [1 per cell]
S (0.689, 0.986, 0.989) [1 per cell]
S (0.713, 0.657, 0.511) [1 per cell]
S (0.789, 0.319, 0.623) [1 per cell]
S (0.895, 0.961, 0.753) [1 per cell]
S (0.898, 0.592, 0.261) [1 per cell]
S (0.966, 0.616, 0.855) [1 per cell]
S (0.973, 0.748, 0.083) [1 per cell]
S (0.977, 0.163, 0.163) [1 per cell]
S (0.998, 0.333, 0.393) [1 per cell]

---

Record 11
## YCuBr2 (SCAN)

Data for YCuBr2 at its PBEsol-relaxed geometry.

- energy above the lowest structure with this stoichiometry (eV/atom) = 0.287
- total DFT energy (no corrections) (eV per cell) = -84.537
- formation energy from raw total energies (eV/atom) = -0.644

a = 3.570 Å, b = 3.574 Å, c = 6.445 Å
α = 90.00°, β = 90.20°, γ = 90.00°
Space group P2/m (No. 10)
Symmetry-distinct sites (fractional):
Y (0.000, 0.000, 0.000) [1 per cell]
Cu (0.000, 0.000, 0.500) [1 per cell]
Br (0.499, 0.500, 0.755) [2 per cell]

---

Record 12
## Li3P (SCAN)

Data for Li3P at its PBEsol-relaxed geometry.

- total DFT energy (no corrections) (eV per cell) = -81.767
- ΔE_f (meV/atom) = -718.4

a = 7.336 Å, b = 7.207 Å, c = 4.213 Å
α = 90.00°, β = 90.00°, γ = 90.00°
Space group Cmcm (No. 63)
Symmetry-distinct sites (fractional):
Li (0.000, 0.084, 0.250) [4 per cell]
Li (0.176, 0.379, 0.250) [8 per cell]
P (0.000, 0.263, 0.750) [4 per cell]

---

Record 13
## SiPtSeN2 (SCAN)

Data for SiPtSeN2 at its PBEsol-relaxed geometry.

- total DFT energy (no corrections) (eV per cell) = -116.022
- formation energy from raw total energies (eV/atom) = 0.570

a = 3.436 Å, b = 3.436 Å, c = 6.654 Å
α = 90.00°, β = 90.00°, γ = 90.00°
Space group P4/mmm (No. 123)
Symmetry-distinct sites (fractional):
Si (0.000, 0.000, 0.000) [1 per cell]
Pt (0.500, 0.500, 0.500) [1 per cell]
Se (0.000, 0.000, 0.500) [1 per cell]
N (0.000, 0.500, 0.000) [2 per cell]

---

Record 14
## ZrZnIr (SCAN)

Data for ZrZnIr at its PBEsol-relaxed geometry.

- total DFT energy (no corrections) (eV per cell) = -234.576
- ΔE_f (meV/atom) = -658.3

a = 3.040 Å, b = 3.729 Å, c = 8.552 Å
α = 90.00°, β = 90.00°, γ = 90.00°
Space group Imm2 (No. 44)
Symmetry-distinct sites (fractional):
Zr (0.000, 0.000, 0.000) [2 per cell]
Zn (0.000, 0.000, 0.321) [2 per cell]
Ir (0.000, 0.000, 0.667) [2 per cell]

---

Record 15
## BaInPtAu2 (SCAN)

Data for BaInPtAu2 at its PBEsol-relaxed geometry.

- total DFT energy (no corrections) (eV per cell) = -283.102
- ΔE_f (meV/atom) = -331.6

a = 5.144 Å, b = 5.144 Å, c = 5.104 Å
α = 90.00°, β = 90.00°, γ = 90.00°
Space group P4/mmm (No. 123)
Symmetry-distinct sites (fractional):
Ba (0.000, 0.000, 0.000) [1 per cell]
In (0.500, 0.500, 0.500) [1 per cell]
Pt (0.500, 0.500, 0.000) [1 per cell]
Au (0.000, 0.500, 0.500) [2 per cell]

---

Record 16
## TePS2I (SCAN)

Data for TePS2I at its PBEsol-relaxed geometry.

- total DFT energy (no corrections) (eV per cell) = -99.259
- formation energy from raw total energies (eV/atom) = 0.878

a = 4.891 Å, b = 4.891 Å, c = 5.381 Å
α = 90.00°, β = 90.00°, γ = 90.00°
Space group P4/mmm (No. 123)
Symmetry-distinct sites (fractional):
Te (0.000, 0.000, 0.000) [1 per cell]
P (0.000, 0.000, 0.500) [1 per cell]
S (0.000, 0.500, 0.000) [2 per cell]
I (0.500, 0.500, 0.500) [1 per cell]

---

Record 17
## UGe2Pd2 (SCAN)

Data for UGe2Pd2 at its PBEsol-relaxed geometry.

- total DFT energy (no corrections) (eV per cell) = -418.720
- ΔE_f (meV/atom) = -421.8

a = 4.088 Å, b = 4.088 Å, c = 10.451 Å
α = 90.00°, β = 90.00°, γ = 90.00°
Space group I4/mmm (No. 139)
Symmetry-distinct sites (fractional):
U (0.000, 0.000, 0.000) [2 per cell]
Ge (0.000, 0.000, 0.386) [4 per cell]
Pd (0.000, 0.500, 0.250) [4 per cell]

---

Record 18
## Li2CdCo (SCAN)

Data for Li2CdCo at its PBEsol-relaxed geometry.

- total DFT energy (no corrections) (eV per cell) = -204.742
- ΔE_f (meV/atom) = 328.2

a = 6.840 Å, b = 6.840 Å, c = 5.171 Å
α = 90.00°, β = 90.00°, γ = 90.00°
Space group I-42d (No. 122)
Symmetry-distinct sites (fractional):
Li (0.228, 0.250, 0.125) [8 per cell]
Cd (0.000, 0.000, 0.500) [4 per cell]
Co (0.000, 0.000, 0.000) [4 per cell]

---

Record 19
## TaAl2Tc (SCAN)

Data for TaAl2Tc at its PBEsol-relaxed geometry.

- energy above the lowest structure with this stoichiometry (eV/atom) = 0.118
- total DFT energy (no corrections) (eV per cell) = -237.051
- ΔE_f (meV/atom) = -344.6

a = 3.298 Å, b = 4.335 Å, c = 8.557 Å
α = 90.00°, β = 90.00°, γ = 90.00°
Space group Imm2 (No. 44)
Symmetry-distinct sites (fractional):
Ta (0.000, 0.000, 0.000) [2 per cell]
Al (0.000, 0.000, 0.474) [2 per cell]
Al (0.000, 0.500, 0.238) [2 per cell]
Tc (0.000, 0.500, 0.731) [2 per cell]

---

Record 20
## TaMnPt2 (SCAN)

Data for TaMnPt2 at its PBEsol-relaxed geometry.

- total DFT energy (no corrections) (eV per cell) = -228.463
- ΔE_f (meV/atom) = -809.5

a = 2.813 Å, b = 2.813 Å, c = 7.644 Å
α = 90.00°, β = 90.00°, γ = 90.00°
Space group P4/mmm (No. 123)
Symmetry-distinct sites (fractional):
Ta (0.000, 0.000, 0.000) [1 per cell]
Mn (0.000, 0.000, 0.500) [1 per cell]
Pt (0.500, 0.500, 0.258) [2 per cell]

---

Record 21
## KHg2As (SCAN)

Data for KHg2As at its PBEsol-relaxed geometry.

- total DFT energy (no corrections) (eV per cell) = -659.793
- ΔE_f (meV/atom) = -24.3

a = 7.279 Å, b = 7.279 Å, c = 7.279 Å
α = 90.00°, β = 90.00°, γ = 90.00°
Space group F-43m (No. 216)
Symmetry-distinct sites (fractional):
K (0.000, 0.000, 0.000) [4 per cell]
Hg (0.000, 0.000, 0.500) [4 per cell]
Hg (0.250, 0.250, 0.750) [4 per cell]
As (0.250, 0.250, 0.250) [4 per cell]

---

Record 22
## BaZnCo2 (SCAN)

Data for BaZnCo2 at its PBEsol-relaxed geometry.

- total DFT energy (no corrections) (eV per cell) = -86.194
- ΔE_f (meV/atom) = 370.0

a = 3.086 Å, b = 3.086 Å, c = 7.415 Å
α = 90.00°, β = 90.00°, γ = 90.00°
Space group P4mm (No. 99)
Symmetry-distinct sites (fractional):
Ba (0.000, 0.000, 0.000) [1 per cell]
Zn (0.500, 0.500, 0.651) [1 per cell]
Co (0.000, 0.000, 0.460) [1 per cell]
Co (0.500, 0.500, 0.326) [1 per cell]

---

Record 23
## Sr3Si (SCAN)

Data for Sr3Si at its PBEsol-relaxed geometry.

- energy above the lowest structure with this stoichiometry (eV/atom) = 0.000
- total DFT energy (no corrections) (eV per cell) = -310.523
- formation energy from raw total energies (eV/atom) = -0.197

a = 10.211 Å, b = 13.735 Å, c = 4.555 Å
α = 90.00°, β = 90.00°, γ = 90.00°
Space group Cmcm (No. 63)
Symmetry-distinct sites (fractional):
Sr (0.000, 0.122, 0.250) [4 per cell]
Sr (0.183, 0.368, 0.250) [8 per cell]
Si (0.000, 0.279, 0.750) [4 per cell]

---

Record 24
## CdTeRhN2 (SCAN)

Data for CdTeRhN2 at its PBEsol-relaxed geometry.

- total DFT energy (no corrections) (eV per cell) = -110.957
- formation energy from raw total energies (eV/atom) = 1.812

a = 4.015 Å, b = 4.015 Å, c = 6.040 Å
α = 90.00°, β = 90.00°, γ = 90.00°
Space group P4/mmm (No. 123)
Symmetry-distinct sites (fractional):
Cd (0.000, 0.000, 0.000) [1 per cell]
Te (0.000, 0.000, 0.500) [1 per cell]
Rh (0.500, 0.500, 0.500) [1 per cell]
N (0.000, 0.500, 0.000) [2 per cell]